No. 1
Entry from Alexandria via LeMat-Bulk: crystalline KZrB at its relaxed geometry (PBE).

As for the formation energy: 0.59 eV per atom.

The space group is Pnma (No. 62) and the conventional cell measures 7.957, 4.336 and 7.234 Å, with angles of 90.00, 90.00 and 90.00 degrees. The distinct sites, in fractional coordinates, are K at (0.016, 0.250, 0.138), Zr at (0.142, 0.250, 0.575) and B at (0.149, 0.750, 0.403).

=====

No. 2
Entry from Alexandria via LeMat-Bulk: crystalline KZrB at its relaxed geometry (PBE).

As for the formation energy: 0.12 eV per atom.

The space group is P1 (No. 1) and the conventional cell measures 3.201, 4.631 and 12.345 Å, with angles of 86.45, 84.88 and 69.80 degrees. The distinct sites, in fractional coordinates, are K at (0.000, 0.000, 0.000), K at (0.469, 0.471, 0.340), Zr at (0.124, 0.980, 0.598), Zr at (0.790, 0.544, 0.752), B at (0.409, 0.425, 0.580) and B at (0.851, 0.553, 0.560).

=====

No. 3
Entry from Alexandria via LeMat-Bulk: crystalline KZrB at its relaxed geometry (PBE).

As for the formation energy: 0.10 eV per atom.

The space group is P1 (No. 1) and the conventional cell measures 3.452, 3.538 and 12.634 Å, with angles of 90.36, 90.16 and 90.00 degrees. The distinct sites, in fractional coordinates, are K at (0.000, 0.000, 0.000), K at (0.499, 0.483, 0.329), Zr at (0.494, 0.988, 0.580), Zr at (0.996, 0.492, 0.749), B at (0.497, 0.993, 0.773) and B at (0.994, 0.488, 0.556).

=====

No. 4
Entry from Alexandria via LeMat-Bulk: crystalline KZrB at its relaxed geometry (PBE).

As for the formation energy: 0.17 eV per atom.

The space group is Cm (No. 8) and the conventional cell measures 5.879, 4.314 and 13.326 Å, with angles of 90.00, 96.56 and 90.00 degrees. The distinct sites, in fractional coordinates, are K at (0.000, 0.000, 0.000), K at (0.077, 0.500, 0.317), Zr at (0.108, 0.000, 0.570), Zr at (0.442, 0.000, 0.757), B at (0.027, 0.000, 0.739) and B at (0.283, 0.500, 0.656).

=====

No. 5
Entry from Alexandria via LeMat-Bulk: crystalline KZrB at its relaxed geometry (PBE).

As for the formation energy: 0.08 eV per atom.

The space group is P-1 (No. 2) and the conventional cell measures 3.566, 4.476 and 12.168 Å, with angles of 86.74, 81.66 and 66.64 degrees. The distinct sites, in fractional coordinates, are K at (0.028, 0.241, 0.171), Zr at (0.181, 0.720, 0.417) and B at (0.443, 0.156, 0.457).

=====

No. 6
Entry from Alexandria via LeMat-Bulk: crystalline KZrB at its relaxed geometry (PBE).

As for the formation energy: 0.72 eV per atom.

The space group is P6_3/mmc (No. 194) and the conventional cell measures 3.9384, 3.9384 and 12.3541 Å, with angles of 90.00, 90.00 and 120.00 degrees. The distinct sites, in fractional coordinates, are K at (0.0000, 0.0000, 0.0000), Zr at (0.3333, 0.6667, 0.2500) and B at (0.3333, 0.6667, 0.7500).

=====

No. 7
Entry from Alexandria via LeMat-Bulk: crystalline KZrB at its relaxed geometry (PBE).

As for the formation energy: -0.12 eV per atom.

The space group is P-1 (No. 2) and the conventional cell measures 3.182, 3.445 and 14.152 Å, with angles of 96.65, 91.44 and 90.00 degrees. The distinct sites, in fractional coordinates, are K at (0.209, 0.334, 0.151), Zr at (0.261, 0.046, 0.598) and B at (0.247, 0.487, 0.472).

=====

No. 8
Entry from Alexandria via LeMat-Bulk: crystalline KZrB at its relaxed geometry (PBE).

As for the formation energy: 1.54 eV per atom.

The space group is P6_3/mmc (No. 194) and the conventional cell measures 5.3439, 5.3439 and 8.7702 Å, with angles of 90.00, 90.00 and 120.00 degrees. The distinct sites, in fractional coordinates, are K at (0.3333, 0.6667, 0.2500), Zr at (0.0000, 0.0000, 0.0000) and B at (0.0000, 0.0000, 0.2500).

=====

These records have M_tot values of 0.0; 0.4; 0.0; 0.0; 0.0; 1.8; 0.0; 0.0 μB per cell, in the order they appear.
These records have energy above the lowest structure with this stoichiometry values of 0.706; 0.232; 0.215; 0.288; 0.195; 0.836; 0.000; 1.652 eV per atom, in the order they appear.
These records have mass density values of 3.76; 2.74; 3.04; 2.79; 2.66; 2.82; 3.04; 2.16 Mg/m³, in the order they appear.